(1)
BeAsOs2: single point on PBEsol structure, SCAN.

Unit cell a=5.5884 b=7.8248 c=2.8137 alpha=90.00 beta=118.93 gamma=90.00
Space group C2/m (No. 12)
Asymmetric unit:
Be 0.0000 0.0000 0.0000
As 0.0000 0.5000 0.0000
Os 0.2500 0.2500 0.5000

Calculated values
* ΔH_f (0 K): 382 meV per atom
* crystal system: monoclinic

---

(2)
YZrPb2: single point on PBEsol structure, SCAN.

Unit cell a=4.3712 b=4.3712 c=10.4310 alpha=90.00 beta=90.00 gamma=90.00
Space group I-4m2 (No. 119)
Asymmetric unit:
Y 0.0000 0.0000 0.0000
Zr 0.0000 0.5000 0.7500
Pb 0.0000 0.0000 0.5000
Pb 0.0000 0.5000 0.2500

Calculated values
* ΔH_f (0 K): -503 meV per atom
* crystal system: tetragonal

---

(3)
K2TmCuCl6: single point on PBEsol structure, SCAN.

Unit cell a=10.0430 b=10.0430 c=10.0430 alpha=90.00 beta=90.00 gamma=90.00
Space group Fm-3m (No. 225)
Asymmetric unit:
K 0.2500 0.2500 0.2500
Tm 0.0000 0.0000 0.0000
Cu 0.0000 0.0000 0.5000
Cl 0.0000 0.0000 0.2548

Calculated values
* energy relative to the elements, uncorrected: -1.969 eV per atom
* crystal system: cubic

---

(4)
Si2AsRh: single point on PBEsol structure, SCAN.

Unit cell a=2.8999 b=2.8999 c=6.9714 alpha=90.00 beta=90.00 gamma=90.00
Space group P4mm (No. 99)
Asymmetric unit:
Si 0.0000 0.0000 0.0000
Si 0.5000 0.5000 0.2302
As 0.0000 0.0000 0.5413
Rh 0.5000 0.5000 0.7967

Calculated values
* energy relative to the elements, uncorrected: 0.032 eV per atom
* crystal system: tetragonal

---

(5)
ZnAgIr2: single point on PBEsol structure, SCAN.

Unit cell a=2.7696 b=4.6246 c=9.1169 alpha=90.00 beta=90.00 gamma=90.00
Space group Cmmm (No. 65)
Asymmetric unit:
Zn 0.0000 0.0000 0.0000
Ag 0.0000 0.0000 0.5000
Ir 0.0000 0.5000 0.2344

Calculated values
* ΔH_f (0 K): 139 meV per atom
* crystal system: orthorhombic

---

(6)
Zr3CdAg: single point on PBEsol structure, SCAN.

Unit cell a=5.0614 b=5.0614 c=5.0614 alpha=90.00 beta=90.00 gamma=90.00
Space group Pm-3m (No. 221)
Asymmetric unit:
Zr 0.0000 0.0000 0.5000
Cd 0.5000 0.5000 0.5000
Ag 0.0000 0.0000 0.0000

Calculated values
* ΔH_f (0 K): 749 meV per atom
* crystal system: cubic

---

(7)
BaHgSb: single point on PBEsol structure, SCAN.

Unit cell a=4.8258 b=4.8258 c=4.9079 alpha=90.00 beta=90.00 gamma=120.00
Space group P3m1 (No. 156)
Asymmetric unit:
Ba 0.0000 0.0000 0.0000
Hg 0.3333 0.6667 0.6015
Sb 0.6667 0.3333 0.4483

Calculated values
* energy relative to the elements, uncorrected: -0.808 eV per atom
* crystal system: trigonal

---

(8)
LiNiRh2: single point on PBEsol structure, SCAN.

Unit cell a=2.6054 b=3.7497 c=5.0178 alpha=90.00 beta=90.00 gamma=90.00
Space group Pmm2 (No. 25)
Asymmetric unit:
Li 0.0000 0.0000 0.0000
Ni 0.5000 0.5000 0.2377
Rh 0.0000 0.0000 0.4899
Rh 0.5000 0.5000 0.7400

Calculated values
* ΔH_f (0 K): 4 meV per atom
* crystal system: orthorhombic

---

Which N(E_F) belongs to each record? In order, 0.52, 0.46, 0.00, 0.45, 0.90, 1.09, 0.53, 0.94 states/eV per atom.
Which final energy belongs to each record? In order, -41.69, -53.03, -15.12, -18.47, -46.63, -30.03, -49.13, -21.52 eV per atom.